Record 1
Compound: Pm12Ge6C
Source: Alexandria via LeMat-Bulk
Functional: GGA-PBE
Structure: relaxed

abc: 8.380 8.380 8.380
angles: 98.41 98.41 98.41
Positions (direct):
Ge (0.706, 0.877, 0.379)
Ge (0.379, 0.706, 0.877)
Ge (0.621, 0.294, 0.123)
Ge (0.877, 0.379, 0.706)
Ge (0.123, 0.621, 0.294)
Ge (0.294, 0.123, 0.621)
Pm (0.933, 0.030, 0.694)
Pm (0.067, 0.970, 0.306)
Pm (0.571, 0.434, 0.813)
Pm (0.694, 0.933, 0.030)
Pm (0.429, 0.566, 0.187)
Pm (0.813, 0.571, 0.434)
Pm (0.187, 0.429, 0.566)
Pm (0.434, 0.813, 0.571)
Pm (0.566, 0.187, 0.429)
Pm (0.306, 0.067, 0.970)
Pm (0.030, 0.694, 0.933)
Pm (0.970, 0.306, 0.067)
C (0.000, 0.000, 0.000)

DFT formation energy   -0.493 eV/atom
Space group   R-3
DFT total energy   -5.44 eV per atom

Record 2
Compound: Pm6GeC2
Source: Alexandria via LeMat-Bulk
Functional: GGA-PBE
Structure: relaxed

abc: 5.145 7.177 7.688
angles: 73.34 70.45 69.00
Positions (direct):
C (0.181, 0.720, 0.918)
C (0.819, 0.280, 0.082)
Pm (0.300, 0.332, 0.069)
Pm (0.348, 0.722, 0.583)
Pm (0.700, 0.668, 0.931)
Pm (0.969, 0.861, 0.201)
Pm (0.652, 0.278, 0.417)
Pm (0.031, 0.139, 0.799)
Ge (0.000, 0.500, 0.500)

DFT formation energy   -0.165 eV/atom
Space group   C2/m
DFT total energy   -5.90 eV per atom

Record 3
Compound: Pm8Ge2C
Source: Alexandria via LeMat-Bulk
Functional: GGA-PBE
Structure: relaxed

abc: 4.019 7.836 10.554
angles: 82.57 100.98 90.00
Each line ends with the local moment (μB).
Positions (direct):
C (0.500, 0.000, 0.000)  -0.01
Pm (0.598, 0.471, 0.196)  0.08
Pm (0.768, 0.697, 0.536)  0.13
Pm (0.005, 0.787, 0.010)  0.05
Pm (0.621, 0.978, 0.243)  0.08
Pm (0.995, 0.213, 0.990)  0.05
Pm (0.379, 0.022, 0.757)  0.08
Pm (0.402, 0.529, 0.804)  0.08
Pm (0.232, 0.303, 0.464)  0.13
Ge (0.840, 0.321, 0.681)  -0.01
Ge (0.160, 0.679, 0.319)  -0.01

DFT formation energy   -0.297 eV/atom
Space group   C2/m
DFT total energy   -5.43 eV per atom

Record 4
Compound: Pm8GeC3
Source: Alexandria via LeMat-Bulk
Functional: GGA-PBE
Structure: relaxed

abc: 6.264 6.264 8.900
angles: 90.00 90.00 120.00
Positions (direct):
Pm (0.329, 0.000, 0.840)
Pm (0.672, 0.671, 0.840)
Pm (0.328, 0.329, 0.160)
Pm (0.671, 0.000, 0.160)
Pm (0.000, 0.672, 0.160)
Pm (0.667, 0.333, 0.500)
Pm (0.000, 0.328, 0.840)
Pm (0.333, 0.667, 0.500)
C (0.667, 0.333, 0.000)
C (0.000, 0.000, 0.000)
C (0.333, 0.667, 0.000)
Ge (0.000, 0.000, 0.500)

DFT formation energy   -0.124 eV/atom
Space group   P-31m
DFT total energy   -5.98 eV per atom

Record 5
Compound: Pm2GeC
Source: Alexandria via LeMat-Bulk
Functional: GGA-PBE
Structure: relaxed

abc: 3.226 3.226 7.711
angles: 90.00 90.00 90.00
Each line ends with the local moment (μB).
Positions (direct):
C (0.500, 0.500, 0.000)  0.11
Pm (0.000, 0.000, 0.805)  0.01
Pm (0.000, 0.000, 0.195)  0.01
Ge (0.500, 0.500, 0.500)  0.00

DFT formation energy   0.020 eV/atom
Space group   P4/mmm
DFT total energy   -5.82 eV per atom

Record 6
Compound: Pm6Ge3C
Source: Alexandria via LeMat-Bulk
Functional: GGA-PBE
Structure: relaxed

abc: 6.464 7.955 10.391
angles: 90.00 89.85 90.00
Positions (direct):
Pm (0.131, 0.048, 0.767)
Pm (0.675, 0.163, 0.936)
Pm (0.325, 0.837, 0.064)
Pm (0.631, 0.452, 0.267)
Pm (0.369, 0.548, 0.733)
Pm (0.869, 0.952, 0.233)
Pm (0.362, 0.796, 0.438)
Pm (0.825, 0.663, 0.564)
Pm (0.175, 0.337, 0.436)
Pm (0.138, 0.296, 0.062)
Pm (0.638, 0.204, 0.562)
Pm (0.862, 0.704, 0.938)
C (0.500, 0.500, 0.500)
C (0.000, 0.000, 0.000)
Ge (0.500, 0.500, 0.000)
Ge (0.431, 0.107, 0.254)
Ge (0.000, 0.000, 0.500)
Ge (0.931, 0.393, 0.754)
Ge (0.069, 0.607, 0.246)
Ge (0.569, 0.893, 0.746)

DFT formation energy   -0.546 eV/atom
Space group   P2_1/c
DFT total energy   -5.70 eV per atom

Record 7
Compound: Pm6Ge3C2
Source: Alexandria via LeMat-Bulk
Functional: GGA-PBE
Structure: relaxed

abc: 4.859 4.859 12.526
angles: 101.18 101.18 90.00
Positions (direct):
Pm (0.417, 0.917, 0.835)
Pm (0.917, 0.417, 0.835)
Pm (0.701, 0.701, 0.403)
Pm (0.083, 0.583, 0.165)
Pm (0.299, 0.299, 0.597)
Pm (0.583, 0.083, 0.165)
C (0.395, 0.395, 0.789)
C (0.605, 0.605, 0.211)
Ge (0.827, 0.827, 0.655)
Ge (0.173, 0.173, 0.345)
Ge (0.000, 0.000, 0.000)

DFT formation energy   -0.387 eV/atom
Space group   I4/mmm
DFT total energy   -5.92 eV per atom

Record 8
Compound: Pm8Ge3C2
Source: Alexandria via LeMat-Bulk
Functional: GGA-PBE
Structure: relaxed

abc: 6.786 6.786 9.790
angles: 69.72 69.72 60.00
Positions (direct):
Pm (0.310, 0.310, 0.071)
Pm (0.733, 0.733, 0.312)
Pm (0.690, 0.690, 0.929)
Pm (0.777, 0.267, 0.688)
Pm (0.267, 0.267, 0.688)
Pm (0.223, 0.733, 0.312)
Pm (0.733, 0.223, 0.312)
Pm (0.267, 0.777, 0.688)
Ge (0.200, 0.200, 0.399)
Ge (0.000, 0.000, 0.000)
Ge (0.800, 0.800, 0.601)
C (0.395, 0.395, 0.816)
C (0.605, 0.605, 0.184)

DFT formation energy   -0.215 eV/atom
Space group   R-3m
DFT total energy   -5.62 eV per atom

Record 9
Compound: Pm8GeC2
Source: Alexandria via LeMat-Bulk
Functional: GGA-PBE
Structure: relaxed

abc: 5.321 7.989 7.989
angles: 119.85 93.99 93.99
Positions (direct):
Pm (0.666, 0.374, 0.374)
Pm (0.500, 0.243, 0.757)
Pm (0.935, 0.638, 0.903)
Pm (0.065, 0.097, 0.362)
Pm (0.500, 0.757, 0.243)
Pm (0.935, 0.903, 0.638)
Pm (0.065, 0.362, 0.097)
Pm (0.334, 0.626, 0.626)
Ge (0.500, 0.000, 0.000)
C (0.000, 0.739, 0.261)
C (0.000, 0.261, 0.739)

DFT formation energy   0.057 eV/atom
Space group   C2/m
DFT total energy   -5.50 eV per atom

Record 10
Compound: Pm4Ge3C
Source: Alexandria via LeMat-Bulk
Functional: GGA-PBE
Structure: relaxed

abc: 3.862 7.349 7.349
angles: 105.28 90.00 90.00
Positions (direct):
Pm (0.500, 0.232, 0.768)
Pm (0.000, 0.203, 0.203)
Pm (0.500, 0.768, 0.232)
Pm (0.000, 0.797, 0.797)
Ge (0.500, 0.500, 0.500)
Ge (0.000, 0.000, 0.500)
Ge (0.000, 0.500, 0.000)
C (0.500, 0.000, 0.000)

DFT formation energy   -0.412 eV/atom
Space group   Cmmm
DFT total energy   -5.67 eV per atom

Record 11
Compound: Pm7Ge2C2
Source: Alexandria via LeMat-Bulk
Functional: GGA-PBE
Structure: relaxed

abc: 3.648 9.012 9.012
angles: 70.29 78.32 78.32
Positions (direct):
Ge (0.000, 0.779, 0.221)
Ge (0.500, 0.367, 0.633)
Pm (0.855, 0.376, 0.915)
Pm (0.193, 0.718, 0.895)
Pm (0.145, 0.085, 0.624)
Pm (0.807, 0.105, 0.282)
Pm (0.369, 0.736, 0.526)
Pm (0.631, 0.474, 0.264)
Pm (0.500, 0.023, 0.977)
C (0.269, 0.326, 0.135)
C (0.731, 0.865, 0.674)

DFT formation energy   -0.198 eV/atom
Space group   Imm2
DFT total energy   -5.74 eV per atom

Record 12
Compound: Pm7Ge3C2
Source: Alexandria via LeMat-Bulk
Functional: GGA-PBE
Structure: relaxed

abc: 4.872 5.009 12.617
angles: 101.45 90.00 90.00
Positions (direct):
Pm (0.000, 0.396, 0.792)
Pm (0.500, 0.902, 0.804)
Pm (0.000, 0.000, 0.000)
Pm (0.500, 0.098, 0.196)
Pm (0.000, 0.604, 0.208)
Pm (0.000, 0.797, 0.594)
Pm (0.000, 0.203, 0.406)
C (0.000, 0.896, 0.793)
C (0.000, 0.104, 0.207)
Ge (0.500, 0.500, 0.000)
Ge (0.500, 0.686, 0.371)
Ge (0.500, 0.314, 0.629)

DFT formation energy   -0.409 eV/atom
Space group   Cmmm
DFT total energy   -5.87 eV per atom